(1)
A relaxed structure of ZnRh2W, computed with GGA-PBE.

a = 6.908 Å, b = 6.908 Å, c = 5.493 Å
α = 90.00°, β = 90.00°, γ = 90.00°
Positions (direct):
Zn  0.000  0.000  0.000
Zn  0.000  0.500  0.250
Zn  0.500  0.000  0.750
Zn  0.500  0.500  0.500
Rh  0.231  0.250  0.625
Rh  0.250  0.731  0.875
Rh  0.250  0.769  0.375
Rh  0.269  0.250  0.125
Rh  0.731  0.750  0.125
Rh  0.750  0.231  0.375
Rh  0.750  0.269  0.875
Rh  0.769  0.750  0.625
W  0.000  0.000  0.500
W  0.000  0.500  0.750
W  0.500  0.000  0.250
W  0.500  0.500  0.000

Output
VASP energy, eV/atom: -6.86
Energy of formation, eV/atom: 0.37
SG: I-42d, No. 122
Fermi-level density of states, states/eV/cell: 5.014

***

(2)
A relaxed structure of ZnRhW2, computed with GGA-PBE.

a = 2.733 Å, b = 4.385 Å, c = 5.053 Å
α = 90.00°, β = 96.03°, γ = 90.00°
Positions (direct):
Zn  0.000  0.000  0.000
Rh  0.003  0.500  0.271
W  0.421  0.500  0.786
W  0.599  0.000  0.497

Output
VASP energy, eV/atom: -8.58
Energy of formation, eV/atom: 0.05
SG: Pm, No. 6
Fermi-level density of states, states/eV/cell: 2.854